[1]
The following is a DFT calculation (PBE-GGA) of a geometry-optimized BaPm2Ag6 structure.

As for the total energy: -3.39 eV per atom. The value obtained for the total magnetic moment is 0.000 μB per formula unit. For the density of states at the Fermi level, the calculation gives 6.0 states/eV/f.u. The symmetry is No. 191.

```
BaPm2Ag6
1.0
3.712 0.000 0.000
0.000 7.301 -4.215
0.000 0.000 8.431
Ag Ba Pm
6 1 2
Direct
0.500 0.000 0.339 Ag
0.500 0.339 0.000 Ag
0.500 0.661 0.661 Ag
0.500 0.661 0.000 Ag
0.500 0.339 0.339 Ag
0.500 0.000 0.661 Ag
0.000 0.000 0.000 Ba
0.000 0.333 0.667 Pm
0.000 0.667 0.333 Pm
```

[2]
The following is a DFT calculation (PBE-GGA) of a geometry-optimized In2Te3 structure.

The uncorrected formation energy comes out at -0.021 eV/atom. The value obtained for the total magnetic moment is 0.000 μB per formula unit. For the density of states at the Fermi level, the calculation gives 4.4 states/eV/f.u. The symmetry is No. 166.

```
In2Te3
1.0
-2.232 -3.653 0.780
-1.736 -2.236 -3.304
6.723 -7.046 -1.629
Te In
3 2
Direct
0.405 0.405 0.784 Te
0.000 0.000 0.000 Te
0.595 0.595 0.216 Te
0.799 0.799 0.602 In
0.201 0.201 0.398 In
```

[3]
The following is a DFT calculation (PBE-GGA) of a geometry-optimized Li2Ca3Tl2 structure.

As for the total energy: -2.34 eV per atom. The value obtained for the total magnetic moment is 0.000 μB per formula unit. For the density of states at the Fermi level, the calculation gives 5.7 states/eV/f.u. The symmetry is No. 71.

```
Li2Ca3Tl2
1.0
-5.735 -6.689 6.050
-8.273 -0.883 6.709
5.468 2.476 -8.843
Li Tl Ca
2 2 3
Direct
0.569 0.569 0.000 Li
0.431 0.431 0.000 Li
0.863 0.363 0.500 Tl
0.137 0.637 0.500 Tl
0.000 0.000 0.000 Ca
0.304 0.804 0.500 Ca
0.696 0.196 0.500 Ca
```

[4]
The following is a DFT calculation (PBE-GGA) of a geometry-optimized La2Pr2NdMg5 structure.

As for the total energy: -3.22 eV per atom. The value obtained for the total magnetic moment is 0.000 μB per formula unit. For the density of states at the Fermi level, the calculation gives 7.5 states/eV/f.u. The symmetry is No. 127.

```
La2Pr2NdMg5
1.0
-1.730 -2.958 3.966
-5.275 -6.323 -7.016
8.744 -6.307 -0.890
La Mg Pr Nd
4 10 4 2
Direct
0.000 0.175 0.325 La
0.000 0.325 0.825 La
0.000 0.675 0.175 La
0.000 0.825 0.675 La
0.500 0.000 0.500 Mg
0.500 0.926 0.195 Mg
0.500 0.574 0.695 Mg
0.500 0.695 0.426 Mg
0.500 0.305 0.574 Mg
0.500 0.500 0.000 Mg
0.500 0.426 0.305 Mg
0.500 0.074 0.805 Mg
0.500 0.805 0.926 Mg
0.500 0.195 0.074 Mg
0.000 0.123 0.623 Pr
0.000 0.623 0.877 Pr
0.000 0.377 0.123 Pr
0.000 0.877 0.377 Pr
0.000 0.500 0.500 Nd
0.000 0.000 0.000 Nd
```

[5]
The following is a DFT calculation (PBE-GGA) of a geometry-optimized BeAlIn structure.

As for the total energy: -3.01 eV per atom. The value obtained for the total magnetic moment is 0.000 μB per formula unit. For the density of states at the Fermi level, the calculation gives 0.9 states/eV/f.u. The symmetry is No. 156.

```
BeAlIn
1.0
-1.303 3.402 1.856
-1.808 -1.273 -3.439
-2.450 -2.056 2.049
In Al Be
1 1 1
Direct
0.333 0.667 0.665 In
0.000 0.000 0.165 Al
0.667 0.333 0.170 Be
```

[6]
The following is a DFT calculation (PBE-GGA) of a geometry-optimized Sr2TmMg structure.

The value obtained for the total magnetic moment is 0.466 μB per formula unit. For the density of states at the Fermi level, the calculation gives 4.7 states/eV/f.u. As for the excess energy over the best structure of this formula in the dataset: 0.195 eV per atom. The symmetry is No. 166.

```
Sr2TmMg
1.0
-2.712 1.682 1.958
-3.579 -0.937 -0.573
-1.175 -8.818 9.525
Tm Sr Mg
1 2 1
Direct
0.000 0.000 0.000 Tm
0.909 0.909 0.273 Sr
0.091 0.091 0.727 Sr
0.500 0.500 0.500 Mg
```

[7]
The following is a DFT calculation (PBE-GGA) of a geometry-optimized Na2CoTe4 structure.

The uncorrected formation energy comes out at -0.128 eV/atom. The value obtained for the total magnetic moment is 0.514 μB per formula unit. For the density of states at the Fermi level, the calculation gives 7.7 states/eV/f.u. The symmetry is No. 139.

```
Na2CoTe4
1.0
5.078 0.000 0.000
0.000 5.078 0.000
2.539 2.539 8.235
Te Na Co
4 2 1
Direct
0.500 0.000 0.000 Te
0.000 0.500 0.000 Te
0.845 0.845 0.311 Te
0.155 0.155 0.689 Te
0.349 0.349 0.301 Na
0.651 0.651 0.699 Na
0.000 0.000 0.000 Co
```

[8]
The following is a DFT calculation (PBE-GGA) of a geometry-optimized CsTlVBi2 structure.

As for the total energy: -3.69 eV per atom. The value obtained for the total magnetic moment is 2.470 μB per formula unit. For the density of states at the Fermi level, the calculation gives 3.3 states/eV/f.u. The symmetry is No. 123.

```
CsTlVBi2
1.0
-3.687 3.990 -0.302
-3.784 -3.757 -3.453
-2.347 -1.824 4.557
Bi Cs V Tl
2 1 1 1
Direct
0.500 0.000 0.000 Bi
0.000 0.000 0.500 Bi
0.000 0.500 0.000 Cs
0.000 0.000 0.000 V
0.500 0.500 0.500 Tl
```

Q: What is the total magnetic moment in the eighth record?
A: 2.470 μB per formula unit

Q: What is the formula in the fourth record?
A: La2Pr2NdMg5